(1)
{"formula": "LiCa2Au2", "functional": "PBE", "state": "relaxed", "lattice_angstrom": [[-3.2163, 1.2850, -2.6596], [-5.4198, -1.0503, 2.4619], [-1.7091, 9.2947, 2.9726]], "species": ["Ca", "Ca", "Ca", "Ca", "Li", "Li", "Au", "Au", "Au", "Au"], "frac_coords": [[0.6850, 0.7359, 0.8941], [0.3150, 0.2641, 0.1059], [0.4997, 0.3312, 0.6694], [0.5003, 0.6688, 0.3306], [0.7881, 0.0571, 0.3667], [0.2119, 0.9429, 0.6333], [0.1455, 0.2836, 0.4255], [0.0238, 0.8343, 0.1182], [0.8545, 0.7164, 0.5745], [0.9762, 0.1657, 0.8818]], "relative_energy_mev_per_atom": 0}



(2)
{"formula": "LiCaAu2", "functional": "PBE", "state": "relaxed", "lattice_angstrom": [[3.7242, 0.0000, 0.0000], [0.0000, 3.7242, 0.0000], [0.0000, 0.0000, 6.1092]], "species": ["Li", "Ca", "Au", "Au"], "frac_coords": [[0.5000, 0.5000, 0.8222], [0.0000, 0.0000, 0.4712], [0.5000, 0.5000, 0.2457], [0.0000, 0.0000, 0.9609]], "dft_energy_ev_per_atom": -3.115}



(3)
{"formula": "LiCa2Au2", "functional": "PBE", "state": "relaxed", "lattice_angstrom": [[-1.4178, 3.6080, 7.5000], [6.0474, -4.7805, 3.4429], [2.4149, 2.5130, -0.7524]], "species": ["Au", "Au", "Au", "Au", "Ca", "Ca", "Ca", "Ca", "Li", "Li"], "frac_coords": [[0.1402, 0.6402, 0.5000], [0.6402, 0.8598, 0.5000], [0.3598, 0.1402, 0.5000], [0.8598, 0.3598, 0.5000], [0.8466, 0.6534, 0.0000], [0.3466, 0.8466, 0.0000], [0.1534, 0.3466, 0.0000], [0.6534, 0.1534, 0.0000], [0.5000, 0.5000, 0.0000], [0.0000, 0.0000, 0.0000]], "relative_energy_mev_per_atom": 169}



(4)
{"formula": "Li3CaAu3", "functional": "PBE", "state": "relaxed", "lattice_angstrom": [[6.8695, 0.0000, 0.0000], [0.0000, 6.8695, 0.0000], [0.0000, 0.0000, 6.8695]], "species": ["Ca", "Ca", "Au", "Au", "Au", "Au", "Au", "Au", "Li", "Li", "Li", "Li", "Li", "Li"], "frac_coords": [[0.0000, 0.0000, 0.0000], [0.5000, 0.5000, 0.5000], [0.7500, 0.5000, 0.0000], [0.5000, 0.0000, 0.2500], [0.0000, 0.2500, 0.5000], [0.5000, 0.0000, 0.7500], [0.0000, 0.7500, 0.5000], [0.2500, 0.5000, 0.0000], [0.5000, 0.7500, 0.0000], [0.2500, 0.0000, 0.5000], [0.0000, 0.5000, 0.7500], [0.0000, 0.5000, 0.2500], [0.7500, 0.0000, 0.5000], [0.5000, 0.2500, 0.0000]], "relative_energy_mev_per_atom": 256}